1.
This record from the Alexandria database describes a geometry-optimized KNbW3 structure. The functional is PBE.

Structure (POSCAR):
```
KNbW3
1.0
-2.516 3.206 1.935
1.642 -1.150 4.042
3.366 2.959 -0.525
W Nb K
3 1 1
Direct
0.000 0.000 0.500
0.000 0.500 0.000
0.500 0.000 0.000
0.500 0.500 0.500
0.000 0.000 0.000
```

Properties
crystal system: cubic
calculated total energy: -33.05 eV per formula unit
energy above the most stable polymorph in this dataset: 514 kJ/mol of formula units
calculated density: 12.36 Mg/m³
symmetry: Pm-3m, No. 221
formation energy from the elements: 3.394 eV/atom



2.
This record from the Alexandria database describes a geometry-optimized HgGeSeN2 structure. The functional is PBE.

Structure (POSCAR):
```
HgGeSeN2
1.0
-2.651 -2.127 1.631
2.674 -1.939 1.817
-0.311 4.077 4.810
N Ge Se Hg
2 1 1 1
Direct
0.500 0.000 0.000
0.000 0.500 0.000
0.000 0.000 0.000
0.000 0.000 0.500
0.500 0.500 0.500
```

Properties
crystal system: tetragonal
calculated total energy: -19.55 eV per formula unit
energy above the most stable polymorph in this dataset: 0 kJ/mol of formula units
calculated density: 7.04 Mg/m³
symmetry: P4/mmm, No. 123



3.
This record from the Alexandria database describes a geometry-optimized FeSeCl structure. The functional is PBE.

Structure (POSCAR):
```
FeSeCl
1.0
-5.529 4.822 -0.121
-6.594 1.626 -2.777
5.121 -4.262 3.074
Fe Se Cl
1 1 1
Direct
0.334 0.334 0.000
0.722 0.722 0.000
0.944 0.944 0.000
```

Properties
crystal system: tetragonal
calculated total energy: -14.06 eV per formula unit
calculated density: 4.38 Mg/m³
symmetry: I4mm, No. 107